! MgCdSe2 (PBE-GGA, relaxed); values from VASP
&SYSTEM
  ibrav = 0, nat = 4, ntyp = 3
/
ATOMIC_SPECIES
Mg 24.30 Mg.upf
Se 78.96 Se.upf
Cd 112.41 Cd.upf
CELL_PARAMETERS angstrom
-3.7392 -0.7673 -1.5987
2.3996 -3.1325 1.2474
-2.7772 0.3855 6.3105
ATOMIC_POSITIONS angstrom
Mg -2.6764 0.3715 6.0814
Se -1.8995 -2.0314 5.4176
Se -2.3748 -1.4610 0.8994
Cd -0.8537 -2.1766 3.0412
! ΔE_f (raw) = -865 meV per atom
! Calculated volume = 102.4 Å³/f.u.
! Raw total energy = -12.94 eV for the cell shown